! Mn3RhO6 | the Alexandria database | PBE with a Hubbard U | optimized geometry; values from VASP
! calculated volume: 11.10 Å³/atom
! energy relative to the lowest polymorph listed for this composition: 0 kJ/mol of formula units
! crystal system: trigonal
! final energy: -145.7 eV per cell
&SYSTEM
  ibrav = 0, nat = 20, ntyp = 3
/
ATOMIC_SPECIES
Mn 54.94 Mn.upf
Rh 102.91 Rh.upf
O 16.00 O.upf
CELL_PARAMETERS angstrom
4.381 2.530 3.338
-4.381 2.530 3.338
0.000 -5.059 3.338
ATOMIC_POSITIONS crystal
Mn 0.071 0.560 0.758
Mn 0.242 0.929 0.440
Mn 0.440 0.242 0.929
Mn 0.560 0.758 0.071
Mn 0.758 0.071 0.560
Mn 0.929 0.440 0.242
Rh 0.000 0.000 0.000
Rh 0.500 0.500 0.500
O 0.041 0.878 0.687
O 0.122 0.313 0.959
O 0.192 0.594 0.403
O 0.313 0.959 0.122
O 0.403 0.192 0.594
O 0.406 0.597 0.808
O 0.594 0.403 0.192
O 0.597 0.808 0.406
O 0.687 0.041 0.878
O 0.808 0.406 0.597
O 0.878 0.687 0.041
O 0.959 0.122 0.313